First-principles (PBE) data for a geometry-optimized PaPd2PtO8 structure, as listed in Alexandria.

Properties
DFT total energy, eV/atom: -6.34
Uncorrected formation energy, meV per atom: -870

a = 5.953 Å, b = 5.953 Å, c = 5.953 Å
α = 111.71°, β = 111.71°, γ = 105.08°
Element x y z (fractional)
1 Pt 0.000 0.000 0.000
2 O 0.295 0.117 0.822
3 Pa 0.250 0.750 0.500
4 O 0.883 0.705 0.178
5 O 0.976 0.281 0.305
6 O 0.976 0.670 0.695
7 Pd 0.750 0.250 0.500
8 O 0.719 0.024 0.695
9 Pd 0.500 0.500 0.000
10 O 0.330 0.024 0.305
11 O 0.527 0.705 0.822
12 O 0.295 0.473 0.178